DFT (PBE-GGA) results for a geometry-optimized VNiPt3 structure.

The space group is P-1 (No. 2) and the conventional cell measures 4.631, 4.654 and 7.318 Å, with angles of 71.49, 84.34 and 72.14 degrees. The distinct sites, in fractional coordinates, are V at (0.250, 0.149, 0.200), Ni at (0.251, 0.346, 0.806), Pt at (0.250, 0.556, 0.388), Pt at (0.250, 0.749, 0.002) and Pt at (0.250, 0.944, 0.612).

The calculation puts the formation energy at -36.69 kJ/mol of atoms. For the volume, the calculation gives 14.234 Å³ per atom. The density of states at the Fermi level comes out at 11.26 states/eV/cell.